Record 1
# TlGeP3 | Alexandria | PBE-GGA | relaxed
data_TlGeP3
_cell_length_a 4.828
_cell_length_b 4.828
_cell_length_c 4.828
_cell_angle_alpha 90.00
_cell_angle_beta 90.00
_cell_angle_gamma 90.00
_space_group_name_H-M_alt 'P m -3 m'
_space_group_IT_number 221
_space_group_name_Hall '-P 4 2 3'
loop_
_atom_site_label
_atom_site_type_symbol
_atom_site_fract_x
_atom_site_fract_y
_atom_site_fract_z
Tl1 Tl 0.000 0.000 0.000
Ge1 Ge 0.500 0.500 0.500
P1 P 0.000 0.500 0.500
# M_tot, μB per cell: 0.00
# E_tot, eV per atom: -3.850

Record 2
# TlGe2P2 | Alexandria | PBE-GGA | relaxed
data_TlGe2P2
_cell_length_a 4.588
_cell_length_b 4.588
_cell_length_c 11.390
_cell_angle_alpha 90.00
_cell_angle_beta 90.00
_cell_angle_gamma 90.00
_space_group_name_H-M_alt 'I 4/m m m'
_space_group_IT_number 139
_space_group_name_Hall '-I 4 2'
loop_
_atom_site_label
_atom_site_type_symbol
_atom_site_fract_x
_atom_site_fract_y
_atom_site_fract_z
Tl1 Tl 0.000 0.000 0.000
Ge1 Ge 0.000 0.500 0.250
P1 P 0.000 0.000 0.340
# M_tot, μB per cell: 0.00
# E_tot, eV per atom: -4.286

Record 3
# Tl3GeP | Alexandria | PBE-GGA | relaxed
data_Tl3GeP
_cell_length_a 5.315
_cell_length_b 5.315
_cell_length_c 5.315
_cell_angle_alpha 90.00
_cell_angle_beta 90.00
_cell_angle_gamma 90.00
_space_group_name_H-M_alt 'P m -3 m'
_space_group_IT_number 221
_space_group_name_Hall '-P 4 2 3'
loop_
_atom_site_label
_atom_site_type_symbol
_atom_site_fract_x
_atom_site_fract_y
_atom_site_fract_z
Tl1 Tl 0.000 0.000 0.500
Ge1 Ge 0.500 0.500 0.500
P1 P 0.000 0.000 0.000
# M_tot, μB per cell: 0.00
# E_tot, eV per atom: -2.844

Record 4
# TlGe2P2 | Alexandria | PBE-GGA | relaxed
data_TlGe2P2
_cell_length_a 8.243
_cell_length_b 8.243
_cell_length_c 3.285
_cell_angle_alpha 90.00
_cell_angle_beta 90.00
_cell_angle_gamma 90.00
_space_group_name_H-M_alt 'P 4/m b m'
_space_group_IT_number 127
_space_group_name_Hall '-P 4 2ab'
loop_
_atom_site_label
_atom_site_type_symbol
_atom_site_fract_x
_atom_site_fract_y
_atom_site_fract_z
Tl1 Tl 0.000 0.000 0.000
Ge1 Ge 0.151 0.349 0.500
P1 P 0.097 0.597 0.000
# M_tot, μB per cell: 0.00
# E_tot, eV per atom: -4.168